(1)
Crystalline Al2PbW at its relaxed geometry. Source: Alexandria, functional PBE.

Cell lengths 2.997, 2.997, 8.753 Å; angles 90.00, 90.00, 90.00 degrees
Fractional positions:
Al1 0.000 0.000 0.987
Pb1 0.000 0.000 0.522
W1 0.500 0.500 0.790
Al2 0.500 0.500 0.201

M_tot, μB per formula unit: 0.0

---

(2)
Crystalline Al2PbW at its relaxed geometry. Source: Alexandria, functional PBE.

Cell lengths 4.969, 4.969, 3.005 Å; angles 90.00, 90.00, 90.00 degrees
Fractional positions:
Al1 0.500 0.500 0.000
W1 0.000 0.500 0.500
Pb1 0.500 0.000 0.500
Al2 0.000 0.000 0.000

M_tot, μB per formula unit: 0.0

---

(3)
Crystalline Al2PbW at its relaxed geometry. Source: Alexandria, functional PBE.

Cell lengths 3.335, 4.736, 4.726 Å; angles 90.00, 90.00, 90.00 degrees
Fractional positions:
W1 0.000 0.500 0.500
Pb1 0.500 0.000 0.500
Al1 0.500 0.500 0.000
Al2 0.000 0.000 0.000

M_tot, μB per formula unit: 0.0

---

(4)
Crystalline AlPb2W at its relaxed geometry. Source: Alexandria, functional PBE.

Cell lengths 10.861, 10.861, 10.861 Å; angles 16.73, 16.73, 16.73 degrees
Fractional positions:
Pb1 0.507 0.507 0.507
Al1 0.750 0.750 0.750
W1 0.250 0.250 0.250
Pb2 0.993 0.993 0.993

M_tot, μB per formula unit: 0.0

---

(5)
Crystalline AlPb2W at its relaxed geometry. Source: Alexandria, functional PBE.

Cell lengths 7.872, 7.872, 4.569 Å; angles 73.13, 73.13, 21.96 degrees
Fractional positions:
Pb1 0.423 0.423 0.577
W1 0.750 0.750 0.750
Pb2 0.077 0.077 0.923
Al1 0.250 0.250 0.250

M_tot, μB per formula unit: 0.0

---

(6)
Crystalline Y2AlPbW at its relaxed geometry. Source: Alexandria, functional PBE.

Cell lengths 5.712, 4.952, 5.712 Å; angles 90.00, 90.00, 90.00 degrees
Fractional positions:
Y1 0.500 0.000 0.000
W1 0.500 0.500 0.500
Al1 0.000 0.500 0.000
Pb1 0.000 0.000 0.000
Y2 0.000 0.000 0.500

M_tot, μB per formula unit: 4.2

---

(7)
Crystalline Y2AlPb at its relaxed geometry. Source: Alexandria, functional PBE.

Cell lengths 9.522, 9.522, 9.522 Å; angles 22.57, 22.57, 22.57 degrees
Fractional positions:
Y1 0.506 0.506 0.506
Y2 0.994 0.994 0.994
Al1 0.250 0.250 0.250
Pb1 0.750 0.750 0.750

M_tot, μB per formula unit: 0.0

---

(8)
Crystalline Y2AlPb at its relaxed geometry. Source: Alexandria, functional PBE.

Cell lengths 3.664, 3.664, 8.177 Å; angles 90.00, 90.00, 90.08 degrees
Fractional positions:
Y1 0.500 0.500 0.288
Al1 0.000 0.000 0.520
Y2 0.000 0.000 0.982
Pb1 0.500 0.500 0.710

M_tot, μB per formula unit: 0.0

---

(9)
Crystalline YAlPb2 at its relaxed geometry. Source: Alexandria, functional PBE.

Cell lengths 4.746, 3.557, 7.084 Å; angles 65.33, 90.00, 90.00 degrees
Fractional positions:
Al1 0.500 0.829 0.728
Pb1 0.000 0.903 0.987
Y1 0.000 0.534 0.515
Pb2 0.500 0.234 0.269

M_tot, μB per formula unit: 0.0

---

(10)
Crystalline YAl2Pb at its relaxed geometry. Source: Alexandria, functional PBE.

Cell lengths 5.146, 5.146, 5.146 Å; angles 60.00, 60.00, 60.00 degrees
Fractional positions:
Al1 0.750 0.750 0.750
Pb1 0.500 0.500 0.500
Y1 0.250 0.250 0.250
Al2 0.000 0.000 0.000

M_tot, μB per formula unit: 0.0

---

(11)
Crystalline YAlPb at its relaxed geometry. Source: Alexandria, functional PBE.

Cell lengths 4.425, 4.425, 9.912 Å; angles 77.10, 77.10, 60.00 degrees
Fractional positions:
Y1 0.432 0.432 0.703
Pb1 0.695 0.695 0.914
Al1 0.839 0.839 0.484
Al2 0.161 0.161 0.516
Y2 0.568 0.568 0.297
Pb2 0.305 0.305 0.086

M_tot, μB per formula unit: 0.0

---

(12)
Crystalline YAlPb2 at its relaxed geometry. Source: Alexandria, functional PBE.

Cell lengths 5.921, 5.921, 4.603 Å; angles 67.13, 67.13, 45.80 degrees
Fractional positions:
Al1 0.750 0.750 0.750
Y1 0.250 0.250 0.250
Pb1 0.000 0.000 0.000
Pb2 0.500 0.500 0.500

M_tot, μB per formula unit: 0.0

---

Results for ρ: 9.40, 9.96, 9.90, 11.21, 10.26, 6.12, 6.13, 6.23, 8.10, 6.03, 6.61, 8.40 (in g cm⁻³, following the order of the records).
Results for E: -5.556, -5.495, -5.341, -5.259, -5.573, -5.219, -5.395, -5.236, -4.536, -4.373, -4.955, -4.609 (in eV/atom, following the order of the records).